Here is a geometry-optimized PaSbPdAu structure from Alexandria via LeMat-Bulk. Energies are from PBE.

The calculation puts the density of states at the Fermi level at 19.65 states/eV/cell. Its total DFT energy (no corrections) is -94.3 eV for the cell shown. The value obtained for the volume is 21.7 Å³ per atom.

The space group is F-43m (No. 216) and the conventional cell measures 7.027, 7.027 and 7.027 Å, with angles of 90.00, 90.00 and 90.00 degrees. The distinct sites, in fractional coordinates, are Pa at (0.000, 0.000, 0.000), Sb at (0.250, 0.250, 0.750), Pd at (0.000, 0.000, 0.500) and Au at (0.250, 0.250, 0.250).